The following is a PBE-GGA calculation of an optimized crystal structure of PmMgGe2Rh, from Alexandria via LeMat-Bulk.

Lattice parameters (Å, degrees): 4.119 4.119 6.363 108.88 108.88 90.00
Positions (direct):
Pm: 0.000 0.000 0.000
Mg: 0.250 0.750 0.500
Ge: 0.610 0.610 0.220
Ge: 0.390 0.390 0.780
Rh: 0.750 0.250 0.500

Properties
The formation energy comes out at -0.724 eV per atom. As for the size of the total moment: 0.000 μB/atom. The final energy comes out at -5.31 eV/atom.


The following is a PBE-GGA calculation of an optimized crystal structure of RbAc3Os, from Alexandria via LeMat-Bulk.

Lattice parameters (Å, degrees): 6.030 6.030 6.030 90.00 90.00 90.00
Positions (direct):
Ac: 0.000 0.500 0.000
Ac: 0.000 0.000 0.500
Ac: 0.500 0.000 0.000
Os: 0.000 0.000 0.000
Rb: 0.500 0.500 0.500

Properties
The formation energy comes out at 0.111 eV per atom. As for the size of the total moment: 0.000 μB/atom. The final energy comes out at -4.79 eV/atom.


The following is a PBE-GGA calculation of an optimized crystal structure of Dy12YTm6, from Alexandria via LeMat-Bulk.

Lattice parameters (Å, degrees): 8.473 8.473 8.473 88.32 88.32 88.32
Positions (direct):
Dy: 0.776 0.542 0.434
Dy: 0.434 0.776 0.542
Dy: 0.542 0.434 0.776
Dy: 0.224 0.458 0.566
Dy: 0.566 0.224 0.458
Dy: 0.458 0.566 0.224
Dy: 0.011 0.204 0.359
Dy: 0.796 0.641 0.989
Dy: 0.641 0.989 0.796
Dy: 0.989 0.796 0.641
Dy: 0.204 0.359 0.011
Dy: 0.359 0.011 0.204
Y: 0.000 0.000 0.000
Tm: 0.742 0.905 0.308
Tm: 0.692 0.258 0.095
Tm: 0.095 0.692 0.258
Tm: 0.258 0.095 0.692
Tm: 0.308 0.742 0.905
Tm: 0.905 0.308 0.742

Properties
The formation energy comes out at 0.159 eV per atom. As for the size of the total moment: 0.000 μB/atom. The offset from the most stable computed form is 0 meV per atom. The final energy comes out at -4.50 eV/atom.


The following is a PBE-GGA calculation of an optimized crystal structure of Tm2PtCl, from Alexandria via LeMat-Bulk.

Lattice parameters (Å, degrees): 4.008 4.008 7.856 75.22 75.22 60.00
Positions (direct):
Tm: 0.068 0.068 0.796
Tm: 0.271 0.271 0.188
Pt: 0.668 0.668 0.995
Cl: 0.493 0.493 0.520

Properties
The uncorrected formation energy is -1310 meV/atom. As for the size of the total moment: 0.000 μB/atom. The offset from the most stable computed form is 72 meV per atom. The final energy comes out at -5.52 eV/atom.


The following is a PBE-GGA calculation of an optimized crystal structure of ReSbI2N, from Alexandria via LeMat-Bulk.

Lattice parameters (Å, degrees): 4.682 4.682 4.719 90.00 90.00 90.00
Positions (direct):
I: 0.000 0.500 0.000
I: 0.500 0.000 0.000
Re: 0.500 0.500 0.500
N: 0.000 0.000 0.000
Sb: 0.000 0.000 0.500

Properties
The uncorrected formation energy is 1804 meV/atom. As for the size of the total moment: 0.000 μB/atom. The offset from the most stable computed form is 1217 meV per atom. The final energy comes out at -3.79 eV/atom.


The following is a PBE-GGA calculation of an optimized crystal structure of Hf2TiReN, from Alexandria via LeMat-Bulk.

Lattice parameters (Å, degrees): 4.491 4.491 3.920 90.00 90.00 90.00
Site moments in Bohr magnetons follow the coordinates.
Positions (direct):
Re: 0.500 0.500 0.500  -0.02
N: 0.000 0.000 0.000  0.00
Hf: 0.000 0.500 0.000  0.01
Hf: 0.500 0.000 0.000  0.01
Ti: 0.000 0.000 0.500  0.08

Properties
The uncorrected formation energy is -767 meV/atom. As for the size of the total moment: 0.022 μB/atom. The final energy comes out at -10.48 eV/atom.


The following is a PBE-GGA calculation of an optimized crystal structure of MgTl2Cd2Hg5, from Alexandria via LeMat-Bulk.

Lattice parameters (Å, degrees): 3.501 12.240 12.240 90.00 90.00 90.00
Positions (direct):
Mg: 0.000 0.000 0.000
Mg: 0.000 0.500 0.500
Tl: 0.000 0.674 0.174
Tl: 0.000 0.326 0.826
Tl: 0.000 0.174 0.326
Tl: 0.000 0.826 0.674
Cd: 0.000 0.144 0.644
Cd: 0.000 0.856 0.356
Cd: 0.000 0.644 0.856
Cd: 0.000 0.356 0.144
Hg: 0.500 0.192 0.028
Hg: 0.500 0.808 0.972
Hg: 0.500 0.028 0.808
Hg: 0.500 0.692 0.472
Hg: 0.500 0.972 0.192
Hg: 0.500 0.308 0.528
Hg: 0.500 0.528 0.692
Hg: 0.500 0.472 0.308
Hg: 0.500 0.500 0.000
Hg: 0.500 0.000 0.500

Properties
The formation energy comes out at -0.033 eV per atom. As for the size of the total moment: 0.000 μB/atom. The final energy comes out at -1.00 eV/atom.


The following is a PBE-GGA calculation of an optimized crystal structure of FeAg2, from Alexandria via LeMat-Bulk.

Lattice parameters (Å, degrees): 5.295 5.295 8.888 90.00 90.00 120.00
Site moments in Bohr magnetons follow the coordinates.
Positions (direct):
Fe: 0.333 0.667 0.031  3.07
Fe: 0.333 0.667 0.469  3.07
Fe: 0.667 0.333 0.531  3.07
Fe: 0.667 0.333 0.969  3.07
Ag: 0.000 0.000 0.000  -0.01
Ag: 0.000 0.000 0.500  -0.01
Ag: 0.170 0.339 0.750  -0.01
Ag: 0.170 0.830 0.750  -0.01
Ag: 0.339 0.170 0.250  -0.01
Ag: 0.661 0.830 0.750  -0.01
Ag: 0.830 0.170 0.250  -0.01
Ag: 0.830 0.661 0.250  -0.01

Properties
The formation energy comes out at 0.682 eV per atom. As for the size of the total moment: 0.993 μB/atom. The final energy comes out at -4.04 eV/atom.


The following is a PBE-GGA calculation of an optimized crystal structure of TbY2Ru, from Alexandria via LeMat-Bulk.

Lattice parameters (Å, degrees): 6.373 7.311 9.234 90.00 90.00 90.00
Positions (direct):
Tb: 0.634 0.543 0.250
Tb: 0.866 0.043 0.250
Tb: 0.366 0.457 0.750
Tb: 0.134 0.957 0.750
Y: 0.170 0.676 0.065
Y: 0.330 0.176 0.435
Y: 0.830 0.324 0.565
Y: 0.670 0.824 0.935
Y: 0.830 0.324 0.935
Y: 0.670 0.824 0.565
Y: 0.170 0.676 0.435
Y: 0.330 0.176 0.065
Ru: 0.034 0.385 0.250
Ru: 0.466 0.885 0.250
Ru: 0.966 0.615 0.750
Ru: 0.534 0.115 0.750

Properties
The formation energy comes out at -0.307 eV per atom. As for the size of the total moment: 0.000 μB/atom. The offset from the most stable computed form is 0 meV per atom. The final energy comes out at -7.02 eV/atom.


The following is a PBE-GGA calculation of an optimized crystal structure of CdRh2Pb, from Alexandria via LeMat-Bulk.

Lattice parameters (Å, degrees): 4.646 4.646 4.646 60.00 60.00 60.00
Positions (direct):
Pb: 0.500 0.500 0.500
Rh: 0.250 0.250 0.250
Rh: 0.750 0.750 0.750
Cd: 0.000 0.000 0.000

Properties
The formation energy comes out at -0.077 eV per atom. As for the size of the total moment: 0.000 μB/atom. The final energy comes out at -4.91 eV/atom.


The following is a PBE-GGA calculation of an optimized crystal structure of SrSiN3, from Alexandria via LeMat-Bulk.

Lattice parameters (Å, degrees): 3.756 3.756 3.756 90.00 90.00 90.00
Positions (direct):
Sr: 0.500 0.500 0.500
Si: 0.000 0.000 0.000
N: 0.000 0.500 0.000
N: 0.000 0.000 0.500
N: 0.500 0.000 0.000

Properties
The uncorrected formation energy is -38 meV/atom. As for the size of the total moment: 0.000 μB/atom. The final energy comes out at -6.45 eV/atom.


The following is a PBE-GGA calculation of an optimized crystal structure of Pm5Pu3S8, from Alexandria via LeMat-Bulk.

Lattice parameters (Å, degrees): 7.992 7.992 8.024 60.13 60.13 60.00
Site moments in Bohr magnetons follow the coordinates.
Positions (direct):
Pm: 0.500 0.000 0.000  0.00
Pm: 0.500 0.500 0.000  0.00
Pm: 0.000 0.000 0.000  0.05
Pm: 0.000 0.500 0.000  0.00
Pm: 0.500 0.500 0.500  0.06
Pu: 0.500 0.000 0.500  5.33
Pu: 0.000 0.000 0.500  5.33
Pu: 0.000 0.500 0.500  5.33
S: 0.250 0.250 0.745  -0.04
S: 0.250 0.755 0.745  -0.04
S: 0.755 0.250 0.745  -0.04
S: 0.753 0.753 0.742  -0.06
S: 0.750 0.750 0.255  -0.04
S: 0.750 0.245 0.255  -0.04
S: 0.245 0.750 0.255  -0.04
S: 0.247 0.247 0.258  -0.06

Properties
The uncorrected formation energy is -1952 meV/atom. As for the size of the total moment: 1.057 μB/atom. The final energy comes out at -8.19 eV/atom.